# 1
The following is a DFT calculation (PBE) of a relaxed HoErP2Ir5 crystal.

a = 3.991 Å, b = 3.991 Å, c = 11.061 Å
α = 90.00°, β = 90.00°, γ = 90.00°
Atoms (fractional coordinates):
Ir  0.000  0.500  0.194
P  0.500  0.500  0.706
Ho  0.000  0.000  0.500
Ir  0.000  0.500  0.806
Ir  0.500  0.000  0.806
Ir  0.500  0.000  0.194
Ir  0.500  0.500  0.500
Er  0.000  0.000  0.000
P  0.500  0.500  0.294

Total moment, μB per formula unit: 0.00
E_form, eV/atom: -0.6103
E, eV per atom: -7.751
Density of states at the Fermi level, states/eV per cell: 5.58

# 2
The following is a DFT calculation (PBE) of a relaxed CeGdErPu crystal.

a = 5.522 Å, b = 5.522 Å, c = 5.522 Å
α = 60.00°, β = 60.00°, γ = 60.00°
Atoms (fractional coordinates):
Pu  0.000  0.000  0.000
Gd  0.750  0.750  0.750
Er  0.500  0.500  0.500
Ce  0.250  0.250  0.250

Total moment, μB per formula unit: 1.10
E_form, eV/atom: 0.1917
E, eV per atom: -9.536
Density of states at the Fermi level, states/eV per cell: 9.51

# 3
The following is a DFT calculation (PBE) of a relaxed Th3Mg5Se12 crystal.

a = 14.099 Å, b = 14.099 Å, c = 14.099 Å
α = 109.47°, β = 109.47°, γ = 109.47°
Atoms (fractional coordinates):
Se  0.909  0.824  0.781
Se  0.628  0.585  0.909
Se  0.957  0.585  0.176
Se  0.372  0.415  0.091
Se  0.091  0.915  0.372
Th  0.125  0.875  0.750
Th  0.750  0.375  0.125
Mg  0.500  0.500  0.000
Mg  0.500  0.000  0.500
Se  0.824  0.915  0.043
Se  0.628  0.043  0.219
Se  0.409  0.128  0.585
Se  0.324  0.543  0.415
Mg  0.375  0.125  0.750
Se  0.281  0.872  0.957
Se  0.457  0.676  0.085
Mg  0.125  0.750  0.375
Mg  0.750  0.625  0.375
Se  0.781  0.324  0.909
Se  0.872  0.281  0.457
Se  0.085  0.176  0.457
Se  0.128  0.719  0.543
Se  0.676  0.457  0.585
Se  0.543  0.324  0.915
Th  0.375  0.625  0.250
Mg  0.125  0.375  0.250
Se  0.872  0.591  0.915
Se  0.957  0.372  0.281
Th  0.625  0.375  0.750
Se  0.591  0.872  0.415
Th  0.375  0.750  0.625
Th  0.625  0.250  0.375
Mg  0.000  0.500  0.000
Se  0.176  0.085  0.957
Se  0.909  0.085  0.628
Se  0.824  0.909  0.281
Se  0.457  0.781  0.872
Mg  0.000  0.500  0.500
Se  0.219  0.676  0.091
Mg  0.875  0.250  0.625
Mg  0.750  0.125  0.875
Se  0.415  0.372  0.591
Se  0.585  0.628  0.409
Mg  0.000  0.000  0.000
Mg  0.375  0.250  0.125
Se  0.281  0.409  0.824
Se  0.372  0.957  0.781
Se  0.676  0.219  0.591
Th  0.250  0.625  0.875
Se  0.128  0.409  0.085
Mg  0.500  0.500  0.500
Se  0.591  0.719  0.676
Se  0.176  0.091  0.719
Se  0.409  0.281  0.324
Th  0.250  0.125  0.375
Se  0.219  0.543  0.628
Se  0.091  0.176  0.219
Th  0.750  0.875  0.625
Se  0.719  0.128  0.043
Se  0.043  0.415  0.824
Mg  0.250  0.875  0.125
Se  0.719  0.591  0.176
Mg  0.625  0.750  0.875
Se  0.415  0.043  0.324
Se  0.781  0.457  0.372
Se  0.324  0.781  0.409
Mg  0.875  0.625  0.750
Th  0.875  0.750  0.125
Mg  0.625  0.875  0.250
Se  0.085  0.909  0.128
Th  0.875  0.125  0.250
Mg  0.500  0.000  0.000
Se  0.915  0.824  0.543
Se  0.915  0.091  0.872
Se  0.585  0.957  0.676
Th  0.125  0.250  0.875
Mg  0.250  0.375  0.625
Mg  0.000  0.000  0.500
Se  0.543  0.219  0.128
Se  0.043  0.628  0.719

Total moment, μB per formula unit: 0.00
ΔE_f (raw), eV/f.u.: -25.349
E, eV per atom: -4.870
Density of states at the Fermi level, states/eV per cell: 87.48

# 4
The following is a DFT calculation (PBE) of a relaxed Ti2GaPd4 crystal.

a = 4.480 Å, b = 4.480 Å, c = 6.797 Å
α = 70.76°, β = 70.76°, γ = 60.00°
Atoms (fractional coordinates):
Pd  0.588  0.588  0.235
Ti  0.273  0.273  0.181
Pd  0.136  0.136  0.591
Pd  0.412  0.412  0.765
Pd  0.864  0.864  0.409
Ga  0.000  0.000  0.000
Ti  0.727  0.727  0.819

Total moment, μB per formula unit: 0.00
E_form, eV/atom: -0.5705
E, eV per atom: -6.226
Energy relative to the lowest polymorph listed for this composition, meV/atom: 0
Density of states at the Fermi level, states/eV per cell: 3.72

# 5
The following is a DFT calculation (PBE) of a relaxed CoSi2Ag crystal.

a = 8.035 Å, b = 8.035 Å, c = 8.035 Å
α = 20.72°, β = 20.72°, γ = 20.72°
Atoms (fractional coordinates):
Ag  0.500  0.500  0.500
Si  0.257  0.257  0.257
Co  0.738  0.738  0.738
Si  0.005  0.005  0.005

Total moment, μB per formula unit: 1.17
ΔE_f (raw), eV/f.u.: 0.908
E, eV per atom: -4.974
Energy relative to the lowest polymorph listed for this composition, meV/atom: 270
Density of states at the Fermi level, states/eV per cell: 2.89

# 6
The following is a DFT calculation (PBE) of a relaxed UNb3 crystal.

a = 4.754 Å, b = 4.754 Å, c = 4.754 Å
α = 60.00°, β = 60.00°, γ = 60.00°
Atoms (fractional coordinates):
U  0.500  0.500  0.500
Nb  0.250  0.250  0.250
Nb  0.000  0.000  0.000
Nb  0.750  0.750  0.750

Total moment, μB per formula unit: 0.00
E_form, eV/atom: 0.1126
E, eV per atom: -10.262
Energy relative to the lowest polymorph listed for this composition, meV/atom: 0
Density of states at the Fermi level, states/eV per cell: 3.75

# 7
The following is a DFT calculation (PBE) of a relaxed SrGeO2 crystal.

a = 6.963 Å, b = 6.963 Å, c = 6.963 Å
α = 28.79°, β = 28.79°, γ = 28.79°
Atoms (fractional coordinates):
O  0.120  0.120  0.120
Sr  0.000  0.000  0.000
Ge  0.500  0.500  0.500
O  0.880  0.880  0.880

Total moment, μB per formula unit: 0.00
ΔE_f (raw), eV/f.u.: -3.814
E, eV per atom: -5.007
Density of states at the Fermi level, states/eV per cell: 2.95

# 8
The following is a DFT calculation (PBE) of a relaxed VS2I crystal.

a = 3.265 Å, b = 3.264 Å, c = 11.152 Å
α = 89.89°, β = 89.89°, γ = 59.70°
Atoms (fractional coordinates):
V  0.199  0.199  0.323
I  0.531  0.531  0.804
S  0.533  0.533  0.193
S  0.866  0.866  0.452

Total moment, μB per formula unit: 0.69
ΔE_f (raw), eV/f.u.: -2.202
E, eV per atom: -5.281
Energy relative to the lowest polymorph listed for this composition, meV/atom: 1
Density of states at the Fermi level, states/eV per cell: 1.75